Material: RbNbRh3
Method: DFT, PBE-GGA
State: optimized geometry

* theoretical density: 6.94 g/cm3
* SG: Pm-3m (221)
* distance to the lowest polymorph of the same formula: 0.000 eV/atom
* formation energy: 3.663 eV/f.u.

Cell and atoms, written as extended XYZ:
```
5
Lattice="4.885 0.000 0.000 0.000 4.885 0.000 0.000 0.000 4.885" Properties=species:S:1:pos:R:3 pbc="T T T"
Rb 0.000 0.000 0.000
Nb 2.442 2.442 2.442
Rh 0.000 2.442 2.442
Rh 2.442 0.000 2.442
Rh 2.442 2.442 0.000
```